Computed, not measured: a relaxed structure of TePb2Se at the PBE level of DFT.

Cell lengths 4.4089, 4.4089, 23.9820 Å; angles 90.00, 90.00, 120.00 degrees
Space group R3m (No. 160, hexagonal axes)
Symmetry-distinct sites (fractional):
1 Te 0.0000 0.0000 0.0000 [3 per cell]
2 Pb 0.0000 0.0000 0.4297 [3 per cell]
3 Pb 0.0000 0.0000 0.5905 [3 per cell]
4 Se 0.0000 0.0000 0.8278 [3 per cell]

Computed properties:
For the volume, the calculation gives 33.64 Å³ per atom. As for the uncorrected formation energy: -423.8 meV/atom. The polymorph energy (0 for the lowest one) is 57 meV per atom. As for the total magnetic moment: 0.0 μB per formula unit.